# 1
A geometry-optimized Li3PrRh4O12 structure, computed with PBE.

For the uncorrected formation energy, the calculation gives -1.270 eV per atom. The calculation puts the calculated density at 5.93 g cm⁻³. Its space-group type is No. 204.

Unit cell a=6.528 b=6.528 c=6.528 alpha=109.47 beta=109.47 gamma=109.47
Positions (direct):
Li 0.000 0.500 0.500
Li 0.500 0.000 0.500
Li 0.500 0.500 0.000
Pr 0.000 0.000 0.000
Rh 0.000 0.000 0.500
Rh 0.000 0.500 0.000
Rh 0.500 0.000 0.000
Rh 0.500 0.500 0.500
O 0.124 0.300 0.824
O 0.176 0.476 0.300
O 0.176 0.876 0.700
O 0.300 0.176 0.476
O 0.300 0.824 0.124
O 0.476 0.300 0.176
O 0.524 0.700 0.824
O 0.700 0.176 0.876
O 0.700 0.824 0.524
O 0.824 0.124 0.300
O 0.824 0.524 0.700
O 0.876 0.700 0.176

# 2
A geometry-optimized LiPr2RhO6 structure, computed with PBE.

For the uncorrected formation energy, the calculation gives -2.233 eV per atom. The calculation puts the calculated density at 6.51 g cm⁻³. Its space-group type is No. 14.

Unit cell a=5.475 b=5.829 c=9.498 alpha=90.00 beta=124.83 gamma=90.00
Positions (direct):
Li 0.000 0.000 0.000
Li 0.000 0.500 0.500
Pr 0.232 0.071 0.748
Pr 0.232 0.429 0.248
Pr 0.768 0.571 0.752
Pr 0.768 0.929 0.252
Rh 0.500 0.000 0.500
Rh 0.500 0.500 0.000
O 0.157 0.189 0.454
O 0.157 0.311 0.954
O 0.267 0.712 0.451
O 0.267 0.788 0.951
O 0.346 0.026 0.254
O 0.346 0.474 0.754
O 0.654 0.526 0.246
O 0.654 0.974 0.746
O 0.733 0.212 0.049
O 0.733 0.288 0.549
O 0.843 0.689 0.046
O 0.843 0.811 0.546

# 3
A geometry-optimized LiPr2RhO5 structure, computed with PBE.

For the uncorrected formation energy, the calculation gives -2.123 eV per atom. The calculation puts the calculated density at 5.71 g cm⁻³. Its space-group type is No. 127.

Unit cell a=6.877 b=6.877 c=5.799 alpha=90.00 beta=90.00 gamma=90.00
Positions (direct):
Li 0.000 0.000 0.000
Li 0.500 0.500 0.000
Pr 0.177 0.323 0.500
Pr 0.323 0.823 0.500
Pr 0.677 0.177 0.500
Pr 0.823 0.677 0.500
Rh 0.000 0.500 0.000
Rh 0.500 0.000 0.000
O 0.000 0.000 0.500
O 0.135 0.635 0.249
O 0.135 0.635 0.751
O 0.365 0.135 0.249
O 0.365 0.135 0.751
O 0.500 0.500 0.500
O 0.635 0.865 0.249
O 0.635 0.865 0.751
O 0.865 0.365 0.249
O 0.865 0.365 0.751

# 4
A geometry-optimized LiPr2RuO6 structure, computed with PBE.

For the uncorrected formation energy, the calculation gives -2.368 eV per atom. The calculation puts the calculated density at 6.43 g cm⁻³. Its space-group type is No. 14.

Unit cell a=5.496 b=5.838 c=9.519 alpha=90.00 beta=124.83 gamma=90.00
Positions (direct):
Li 0.000 0.000 0.000
Li 0.000 0.500 0.500
Pr 0.233 0.069 0.749
Pr 0.233 0.431 0.249
Pr 0.767 0.569 0.751
Pr 0.767 0.931 0.251
Ru 0.500 0.000 0.500
Ru 0.500 0.500 0.000
O 0.160 0.187 0.453
O 0.160 0.313 0.953
O 0.266 0.713 0.448
O 0.266 0.787 0.948
O 0.351 0.029 0.256
O 0.351 0.471 0.756
O 0.649 0.529 0.244
O 0.649 0.971 0.744
O 0.734 0.213 0.052
O 0.734 0.287 0.552
O 0.840 0.687 0.047
O 0.840 0.813 0.547

Quick rundown of final energy, same order as above: -124.82, -141.82, -125.44, -148.36 eV/cell